Record 1
Hg2SbS2: optimized geometry, GGA-PBE.

It has space group P4/mbm (No. 127), with a = 7.9821 Å, b = 7.9821 Å, c = 4.0147 Å, α = 90.00°, β = 90.00° and γ = 90.00°. The distinct sites, in fractional coordinates, are Hg at (0.1173, 0.3827, 0.0000), Sb at (0.0000, 0.0000, 0.5000) and S at (0.2334, 0.7334, 0.5000).

The calculation puts the raw formation energy at 45 kJ/mol of formula units. For the density of states at the Fermi level, the calculation gives 1.714 states/eV/f.u.

---

Record 2
HgSbS4: optimized geometry, GGA-PBE.

It has space group P-1 (No. 2), with a = 6.8338 Å, b = 7.4719 Å, c = 7.5417 Å, α = 114.87°, β = 90.12° and γ = 105.95°. The distinct sites, in fractional coordinates, are Hg at (0.0278, 0.1254, 0.4121), Sb at (0.3932, 0.6370, 0.8264), S at (0.1165, 0.3970, 0.2886), S at (0.2422, 0.2712, 0.0334), S at (0.2982, 0.8519, 0.1509) and S at (0.4619, 0.8900, 0.6749).

The calculation puts the raw formation energy at -17 kJ/mol of formula units.

---

Record 3
Hg5Sb3S12: optimized geometry, GGA-PBE.

It has space group Ia-3d (No. 230), with a = 15.7704 Å, b = 15.7704 Å, c = 15.7704 Å, α = 90.00°, β = 90.00° and γ = 90.00°. The distinct sites, in fractional coordinates, are Hg at (0.0000, 0.0000, 0.0000), Hg at (0.0000, 0.2500, 0.3750), Sb at (0.0000, 0.2500, 0.1250) and S at (0.0166, 0.0687, 0.6546).

The calculation puts the raw formation energy at 358 kJ/mol of formula units. For the density of states at the Fermi level, the calculation gives 20.203 states/eV/f.u.

---

Record 4
Hg12Sb3S5: optimized geometry, GGA-PBE.

It has space group Ia-3d (No. 230), with a = 16.5726 Å, b = 16.5726 Å, c = 16.5726 Å, α = 90.00°, β = 90.00° and γ = 90.00°. The distinct sites, in fractional coordinates, are Hg at (0.0224, 0.0729, 0.6529), Sb at (0.0000, 0.2500, 0.1250), S at (0.0000, 0.0000, 0.0000) and S at (0.0000, 0.2500, 0.3750).

The calculation puts the raw formation energy at 231 kJ/mol of formula units. For the density of states at the Fermi level, the calculation gives 11.294 states/eV/f.u.

---

Record 5
HgSbS: optimized geometry, GGA-PBE.

It has space group P1 (No. 1), with a = 3.6483 Å, b = 6.1454 Å, c = 8.6758 Å, α = 89.65°, β = 88.82° and γ = 89.94°. The distinct sites, in fractional coordinates, are Hg at (0.0000, 0.0000, 0.0000), Hg at (0.2987, 0.4987, 0.8514), Sb at (0.1439, 0.4960, 0.4263), Sb at (0.1521, 0.9956, 0.4254), S at (0.6434, 0.9947, 0.6214) and S at (0.6526, 0.4987, 0.2303).

The calculation puts the raw formation energy at -14 kJ/mol of formula units. For the density of states at the Fermi level, the calculation gives 0.029 states/eV/f.u.

---

Record 6
HgSb2S2: optimized geometry, GGA-PBE.

It has space group P4/mbm (No. 127), with a = 8.9202 Å, b = 8.9202 Å, c = 3.5713 Å, α = 90.00°, β = 90.00° and γ = 90.00°. The distinct sites, in fractional coordinates, are Hg at (0.0000, 0.0000, 0.0000), Sb at (0.2321, 0.2679, 0.5000) and S at (0.1303, 0.6303, 0.0000).

The calculation puts the raw formation energy at 70 kJ/mol of formula units. For the density of states at the Fermi level, the calculation gives 4.487 states/eV/f.u.

---

| no. | total magnetic moment (μB per cell) |
| --- | --- |
| 1 | 0.000 |
| 2 | 0.000 |
| 3 | 0.000 |
| 4 | 0.000 |
| 5 | 0.000 |
| 6 | 0.000 |